[1]
Density functional theory data (PBE) for an optimized crystal structure of La5PrSm5.

a b c (Å): 6.313 6.313 11.778
angles (deg): 90.00 90.00 120.00
Sites, in units of the cell vectors:
La (0.000, 0.000, 0.000)
La (0.333, 0.667, 0.323)
La (0.333, 0.667, 0.677)
La (0.667, 0.333, 0.156)
La (0.667, 0.333, 0.844)
Pr (0.333, 0.667, 0.000)
Sm (0.000, 0.000, 0.266)
Sm (0.000, 0.000, 0.734)
Sm (0.336, 0.168, 0.500)
Sm (0.832, 0.168, 0.500)
Sm (0.832, 0.664, 0.500)

Results
Magnetic moment (μB per cell): 0.000
Electronic total energy (eV per cell): -50.29
Energy of formation from the pure elements (eV/atom): 0.25

***

[2]
Density functional theory data (PBE) for an optimized crystal structure of La2Pr5Sm6.

a b c (Å): 11.978 21.067 3.679
angles (deg): 90.00 90.00 90.00
Sites, in units of the cell vectors:
La (0.177, 0.222, 0.000)
La (0.323, 0.722, 0.000)
La (0.677, 0.278, 0.000)
La (0.823, 0.778, 0.000)
Pr (0.000, 0.500, 0.500)
Pr (0.082, 0.783, 0.500)
Pr (0.200, 0.058, 0.500)
Pr (0.300, 0.558, 0.500)
Pr (0.418, 0.283, 0.500)
Pr (0.500, 0.000, 0.500)
Pr (0.582, 0.717, 0.500)
Pr (0.700, 0.442, 0.500)
Pr (0.800, 0.942, 0.500)
Pr (0.918, 0.217, 0.500)
Sm (0.065, 0.927, 0.000)
Sm (0.073, 0.638, 0.000)
Sm (0.183, 0.374, 0.500)
Sm (0.317, 0.874, 0.500)
Sm (0.427, 0.138, 0.000)
Sm (0.435, 0.427, 0.000)
Sm (0.565, 0.573, 0.000)
Sm (0.573, 0.862, 0.000)
Sm (0.683, 0.126, 0.500)
Sm (0.817, 0.626, 0.500)
Sm (0.927, 0.362, 0.000)
Sm (0.935, 0.073, 0.000)

Results
Magnetic moment (μB per cell): 0.000
Electronic total energy (eV per cell): -121.91
Energy of formation from the pure elements (eV/atom): 0.09

***

[3]
Density functional theory data (PBE) for an optimized crystal structure of LaPr4Sm8.

a b c (Å): 7.963 7.963 7.963
angles (deg): 89.68 89.68 89.68
Sites, in units of the cell vectors:
La (0.000, 0.000, 0.000)
Pr (0.000, 0.000, 0.500)
Pr (0.000, 0.500, 0.000)
Pr (0.500, 0.000, 0.000)
Pr (0.500, 0.500, 0.500)
Sm (0.261, 0.261, 0.261)
Sm (0.261, 0.261, 0.735)
Sm (0.261, 0.735, 0.261)
Sm (0.265, 0.739, 0.739)
Sm (0.735, 0.261, 0.261)
Sm (0.739, 0.265, 0.739)
Sm (0.739, 0.739, 0.265)
Sm (0.739, 0.739, 0.739)

Results
Magnetic moment (μB per cell): 1.893
Electronic total energy (eV per cell): -55.47
Energy of formation from the pure elements (eV/atom): 0.49

***

[4]
Density functional theory data (PBE) for an optimized crystal structure of La3Pr2Sm2.

a b c (Å): 5.842 24.425 3.489
angles (deg): 90.00 90.00 90.00
Sites, in units of the cell vectors:
La (0.000, 0.000, 0.000)
La (0.000, 0.283, 0.000)
La (0.000, 0.717, 0.000)
La (0.500, 0.217, 0.000)
La (0.500, 0.500, 0.000)
La (0.500, 0.783, 0.000)
Pr (0.000, 0.140, 0.500)
Pr (0.000, 0.860, 0.500)
Pr (0.500, 0.360, 0.500)
Pr (0.500, 0.640, 0.500)
Sm (0.000, 0.426, 0.000)
Sm (0.000, 0.574, 0.000)
Sm (0.500, 0.074, 0.000)
Sm (0.500, 0.926, 0.000)

Results
Magnetic moment (μB per cell): 0.001
Electronic total energy (eV per cell): -65.92
Energy of formation from the pure elements (eV/atom): 0.12

***

[5]
Density functional theory data (PBE) for an optimized crystal structure of LaPr7Sm2.

a b c (Å): 9.417 9.417 5.744
angles (deg): 90.00 90.00 122.78
Sites, in units of the cell vectors:
La (0.000, 0.000, 0.000)
Pr (0.064, 0.297, 0.500)
Pr (0.230, 0.770, 0.000)
Pr (0.297, 0.064, 0.500)
Pr (0.500, 0.500, 0.500)
Pr (0.703, 0.936, 0.500)
Pr (0.770, 0.230, 0.000)
Pr (0.936, 0.703, 0.500)
Sm (0.297, 0.703, 0.500)
Sm (0.703, 0.297, 0.500)

Results
Magnetic moment (μB per cell): 0.000
Electronic total energy (eV per cell): -41.79
Energy of formation from the pure elements (eV/atom): 0.60

***

[6]
Density functional theory data (PBE) for an optimized crystal structure of LaPrSm14.

a b c (Å): 11.794 7.315 7.315
angles (deg): 60.06 90.00 90.00
Sites, in units of the cell vectors:
La (0.000, 0.000, 0.000)
Pr (0.000, 0.500, 0.500)
Sm (0.000, 0.001, 0.500)
Sm (0.000, 0.500, 0.001)
Sm (0.250, 0.667, 0.667)
Sm (0.252, 0.167, 0.167)
Sm (0.253, 0.167, 0.667)
Sm (0.253, 0.667, 0.167)
Sm (0.500, 0.334, 0.334)
Sm (0.500, 0.335, 0.834)
Sm (0.500, 0.833, 0.833)
Sm (0.500, 0.834, 0.335)
Sm (0.747, 0.167, 0.667)
Sm (0.747, 0.667, 0.167)
Sm (0.748, 0.167, 0.167)
Sm (0.750, 0.667, 0.667)

Results
Magnetic moment (μB per cell): 0.000
Electronic total energy (eV per cell): -75.70
Energy of formation from the pure elements (eV/atom): 0.00